Record 1
Density functional theory data (GGA-PBE) for a geometry-optimized KPIrO2 structure.

**Volume**: 20.063 A^3/atom

a b c (Å): 3.9069 3.9069 6.5721
angles (deg): 90.00 90.00 90.00
With the nearest neighbours (Å) after each atom.
Fractional positions:
K: 0.0000 0.0000 0.0000  4 O 1.95
P: 0.0000 0.0000 0.5000  4 Ir 2.76
Ir: 0.5000 0.5000 0.5000  4 P 2.76
O: 0.0000 0.5000 0.0000  2 K 1.95
O: 0.5000 0.0000 0.0000  2 K 1.95

=====

Record 2
Density functional theory data (GGA-PBE) for a geometry-optimized KPIrO2 structure.

**Volume**: 15.840 A^3/atom

a b c (Å): 4.1438 4.1438 4.6124
angles (deg): 90.00 90.00 90.00
With the nearest neighbours (Å) after each atom.
Fractional positions:
K: 0.0000 0.0000 0.0000  4 P 2.93, 8 O 3.10
P: 0.5000 0.5000 0.0000  2 Ir 2.31
Ir: 0.5000 0.5000 0.5000  4 O 2.07, 2 P 2.31
O: 0.0000 0.5000 0.5000  2 Ir 2.07
O: 0.5000 0.0000 0.5000  2 Ir 2.07

=====

Record 3
Density functional theory data (GGA-PBE) for a geometry-optimized KP2IrO structure.

**Volume**: 19.391 A^3/atom

a b c (Å): 4.5443 4.5443 4.6949
angles (deg): 90.00 90.00 90.00
With the nearest neighbours (Å) after each atom.
Fractional positions:
K: 0.0000 0.0000 0.0000  4 O 3.21, 8 P 3.27
P: 0.0000 0.5000 0.5000  2 Ir 2.27
P: 0.5000 0.0000 0.5000  2 Ir 2.27
Ir: 0.5000 0.5000 0.5000  4 P 2.27, 2 O 2.35
O: 0.5000 0.5000 0.0000  2 Ir 2.35

=====

Record 4
Density functional theory data (GGA-PBE) for a geometry-optimized KP2IrO structure.

**Volume**: 19.315 A^3/atom

a b c (Å): 5.0239 5.0239 3.8264
angles (deg): 90.00 90.00 90.00
With the nearest neighbours (Å) after each atom.
Fractional positions:
K: 0.0000 0.0000 0.0000  2 O 1.91
P: 0.0000 0.5000 0.0000  2 K 2.51
P: 0.5000 0.0000 0.0000  2 K 2.51
Ir: 0.5000 0.5000 0.5000  8 P 3.16
O: 0.0000 0.0000 0.5000  2 K 1.91

=====

Record 5
Density functional theory data (GGA-PBE) for a geometry-optimized K2PaIrO6 structure.

**Volume**: 14.396 A^3/atom

a b c (Å): 5.8828 5.8828 5.8828
angles (deg): 60.00 60.00 60.00
With the nearest neighbours (Å) after each atom.
Fractional positions:
K: 0.2500 0.2500 0.2500  12 O 2.94
K: 0.7500 0.7500 0.7500  12 O 2.94
Pa: 0.0000 0.0000 0.0000  6 O 2.18
Ir: 0.5000 0.5000 0.5000  6 O 1.98
O: 0.2615 0.2615 0.7385  1 Ir 1.98, 1 Pa 2.18
O: 0.2615 0.7385 0.2615  1 Ir 1.98, 1 Pa 2.18
O: 0.2615 0.7385 0.7385  1 Ir 1.98, 1 Pa 2.18
O: 0.7385 0.2615 0.2615  1 Ir 1.98, 1 Pa 2.18
O: 0.7385 0.2615 0.7385  1 Ir 1.98, 1 Pa 2.18
O: 0.7385 0.7385 0.2615  1 Ir 1.98, 1 Pa 2.18

=====

Record 6
Density functional theory data (GGA-PBE) for a geometry-optimized K2PaIr3O12 structure.

**Volume**: 15.956 A^3/atom

a b c (Å): 7.5533 7.5533 7.5533
angles (deg): 57.50 57.50 57.50
With the nearest neighbours (Å) after each atom.
Fractional positions:
K: 0.1258 0.1258 0.1258  6 O 3.10-3.34
K: 0.8742 0.8742 0.8742  6 O 3.10-3.34
Pa: 0.5000 0.5000 0.5000  6 O 2.16
Ir: 0.0000 0.5000 0.5000  6 O 1.92-1.96
Ir: 0.5000 0.0000 0.5000  6 O 1.92-1.96
Ir: 0.5000 0.5000 0.0000  6 O 1.92-1.96
O: 0.1506 0.5792 0.5792  1 Ir 1.96, 1 Pa 2.16
O: 0.1917 0.1917 0.5804  2 Ir 1.92
O: 0.1917 0.5804 0.1917  2 Ir 1.92
O: 0.4196 0.8083 0.8083  2 Ir 1.92
O: 0.4208 0.4208 0.8494  1 Ir 1.96, 1 Pa 2.16
O: 0.4208 0.8494 0.4208  1 Ir 1.96, 1 Pa 2.16
O: 0.5792 0.1506 0.5792  1 Ir 1.96, 1 Pa 2.16
O: 0.5792 0.5792 0.1506  1 Ir 1.96, 1 Pa 2.16
O: 0.5804 0.1917 0.1917  2 Ir 1.92
O: 0.8083 0.4196 0.8083  2 Ir 1.92
O: 0.8083 0.8083 0.4196  2 Ir 1.92
O: 0.8494 0.4208 0.4208  1 Ir 1.96, 1 Pa 2.16

=====

Record 7
Density functional theory data (GGA-PBE) for a geometry-optimized KPa2IrO8 structure.

**Volume**: 15.988 A^3/atom

a b c (Å): 5.3921 5.3921 7.6192
angles (deg): 90.00 90.00 120.00
With the nearest neighbours (Å) after each atom.
Fractional positions:
K: 0.0000 0.0000 0.0000  12 O 3.24-3.27
Pa: 0.3333 0.6667 0.3764  1 O 1.87
Pa: 0.6667 0.3333 0.6236  1 O 1.87
Ir: 0.0000 0.0000 0.5000  6 O 1.95
O: 0.1776 0.3552 0.6345  1 Ir 1.95
O: 0.1776 0.8224 0.6345  1 Ir 1.95
O: 0.3333 0.6667 0.1314  1 Pa 1.87
O: 0.3552 0.1776 0.3655  1 Ir 1.95
O: 0.6448 0.8224 0.6345  1 Ir 1.95
O: 0.6667 0.3333 0.8686  1 Pa 1.87
O: 0.8224 0.1776 0.3655  1 Ir 1.95
O: 0.8224 0.6448 0.3655  1 Ir 1.95

=====

Record 8
Density functional theory data (GGA-PBE) for a geometry-optimized K2Pa3IrO12 structure.

**Volume**: 19.508 A^3/atom

a b c (Å): 7.8520 7.8520 7.8520
angles (deg): 61.15 61.15 61.15
With the nearest neighbours (Å) after each atom.
Fractional positions:
K: 0.1032 0.1032 0.1032  3 O 3.17
K: 0.8968 0.8968 0.8968  3 O 3.17
Pa: 0.0000 0.5000 0.5000  6 O 2.16-2.22
Pa: 0.5000 0.0000 0.5000  6 O 2.16-2.22
Pa: 0.5000 0.5000 0.0000  6 O 2.16-2.22
Ir: 0.5000 0.5000 0.5000  6 O 1.91
O: 0.1766 0.1766 0.5682  2 Pa 2.16
O: 0.1766 0.5682 0.1766  2 Pa 2.16
O: 0.2160 0.5566 0.5566  1 Ir 1.91
O: 0.4318 0.8234 0.8234  2 Pa 2.16
O: 0.4434 0.4434 0.7840  1 Ir 1.91
O: 0.4434 0.7840 0.4434  1 Ir 1.91
O: 0.5566 0.2160 0.5566  1 Ir 1.91
O: 0.5566 0.5566 0.2160  1 Ir 1.91
O: 0.5682 0.1766 0.1766  2 Pa 2.16
O: 0.7840 0.4434 0.4434  1 Ir 1.91
O: 0.8234 0.4318 0.8234  2 Pa 2.16
O: 0.8234 0.8234 0.4318  2 Pa 2.16

=====

Raw formation energy values, unit eV per atom, following the record order: 1.783; -0.133; 0.201; 2.191; -2.087; -1.418; -2.212; -2.491.
Electronic total energy values, unit eV/atom, following the record order: -3.27; -5.19; -4.95; -2.96; -7.12; -6.85; -7.93; -7.99.
Size of the total moment values, unit μB/f.u., following the record order: 1.95; 1.96; 0.00; 0.00; 1.03; 0.00; 1.82; 2.01.